1) Density functional theory data (GGA-PBE) for a geometry-optimized NdDy8Y2 structure.

- volume (Å³/cell) = 721.6
- DOS at the Fermi energy (states/eV/cell) = 30.8
- magnetization (μB per cell) = 0.00

Cell and atoms, written as CIF:
```
data_NdDy8Y2
_chemical_formula_sum 'Nd2 Dy16 Y4'
_cell_length_a 9.123
_cell_length_b 16.756
_cell_length_c 5.930
_cell_angle_alpha 90.00
_cell_angle_beta 127.25
_cell_angle_gamma 90.00
_space_group_name_H-M_alt 'C 1 2/m 1'
_space_group_IT_number 12
loop_
_space_group_symop_operation_xyz
'x,y,z'
'-x,-y,-z'
'-x,y,-z'
'x,-y,z'
'x+1/2,y+1/2,z'
'-x+1/2,-y+1/2,-z'
'-x+1/2,y+1/2,-z'
'x+1/2,-y+1/2,z'
loop_
_atom_site_label
_atom_site_type_symbol
_atom_site_fract_x
_atom_site_fract_y
_atom_site_fract_z
_atom_site_occupancy
Nd1 Nd 0.000 0.000 0.000 1
Dy1 Dy 0.000 0.203 0.000 1
Dy2 Dy 0.050 0.500 0.785 1
Dy3 Dy 0.224 0.126 0.703 1
Y1 Y 0.000 0.311 0.500 1
```

=====

2) Density functional theory data (GGA-PBE) for a geometry-optimized NdDy8Y2 structure.

- volume (Å³/cell) = 716.1
- DOS at the Fermi energy (states/eV/cell) = 31.9
- magnetization (μB per cell) = 0.00

Cell and atoms, written as CIF:
```
data_NdDy8Y2
_chemical_formula_sum 'Nd2 Dy16 Y4'
_cell_length_a 5.535
_cell_length_b 8.115
_cell_length_c 15.945
_cell_angle_alpha 90.00
_cell_angle_beta 90.00
_cell_angle_gamma 90.00
_space_group_name_H-M_alt 'I m m m'
_space_group_IT_number 71
_space_group_name_Hall '-I 2 2'
loop_
_atom_site_label
_atom_site_type_symbol
_atom_site_fract_x
_atom_site_fract_y
_atom_site_fract_z
_atom_site_occupancy
Nd1 Nd 0.000 0.000 0.000 1
Dy1 Dy 0.000 0.206 0.500 1
Dy2 Dy 0.000 0.294 0.138 1
Dy3 Dy 0.000 0.500 0.336 1
Y1 Y 0.000 0.000 0.300 1
```

=====

The structure with the least stability is 1).

=====

1) Density functional theory data (GGA-PBE) for a geometry-optimized Nd7DyY2 structure.

- volume (Å³/cell) = 728.4
- DOS at the Fermi energy (states/eV/cell) = 32.1
- magnetization (μB per cell) = 0.00

Cell and atoms, written as CIF:
```
data_Nd7DyY2
_chemical_formula_sum 'Nd14 Dy2 Y4'
_cell_length_a 12.145
_cell_length_b 16.992
_cell_length_c 3.530
_cell_angle_alpha 90.00
_cell_angle_beta 90.00
_cell_angle_gamma 90.00
_space_group_name_H-M_alt 'C m m m'
_space_group_IT_number 65
_space_group_name_Hall '-C 2 2'
loop_
_atom_site_label
_atom_site_type_symbol
_atom_site_fract_x
_atom_site_fract_y
_atom_site_fract_z
_atom_site_occupancy
Nd1 Nd 0.000 0.000 0.000 1
Nd2 Nd 0.000 0.176 0.500 1
Nd3 Nd 0.245 0.129 0.000 1
Dy1 Dy 0.000 0.500 0.500 1
Y1 Y 0.000 0.333 0.000 1
```

=====

2) Density functional theory data (GGA-PBE) for a geometry-optimized Nd7DyY2 structure.

- volume (Å³/cell) = 832.6
- DOS at the Fermi energy (states/eV/cell) = 31.0
- magnetization (μB per cell) = 0.00

Cell and atoms, written as CIF:
```
data_Nd7DyY2
_chemical_formula_sum 'Nd14 Dy2 Y4'
_cell_length_a 8.697
_cell_length_b 17.488
_cell_length_c 5.475
_cell_angle_alpha 90.00
_cell_angle_beta 90.00
_cell_angle_gamma 90.00
_space_group_name_H-M_alt 'C m m m'
_space_group_IT_number 65
_space_group_name_Hall '-C 2 2'
loop_
_atom_site_label
_atom_site_type_symbol
_atom_site_fract_x
_atom_site_fract_y
_atom_site_fract_z
_atom_site_occupancy
Nd1 Nd 0.000 0.000 0.000 1
Nd2 Nd 0.000 0.300 0.500 1
Nd3 Nd 0.180 0.391 0.000 1
Dy1 Dy 0.000 0.500 0.500 1
Y1 Y 0.000 0.208 0.000 1
```

=====

The structure with the least stability is 2).